1.
First-principles (GGA-PBE) data for a geometry-optimized CrMoP3 structure, as listed in Alexandria via LeMat-Bulk.

Cell lengths 4.645, 4.645, 4.645 Å; angles 90.00, 90.00, 90.00 degrees
Atoms (fractional coordinates):
Cr1 0.000 0.000 0.000
Mo1 0.500 0.500 0.500
P1 0.000 0.500 0.500
P2 0.500 0.000 0.500
P3 0.500 0.500 0.000

Output
N(E_F): 12.95 states/eV/f.u.
Symmetry: Pm-3m
Relative energy among the computed polymorphs: 393 meV/atom
Total moment: 0.06 μB/atom
E: -6.151 eV per atom
Energy of formation from the pure elements: 114 kJ per mole of atoms
Crystal system: cubic

2.
First-principles (GGA-PBE) data for a geometry-optimized Pm4Pr15Dy structure, as listed in Alexandria via LeMat-Bulk.

Cell lengths 5.232, 5.232, 26.057 Å; angles 90.00, 90.00, 90.00 degrees
Atoms (fractional coordinates):
Pm1 0.000 0.000 0.100
Pm2 0.000 0.000 0.301
Pm3 0.000 0.000 0.699
Pm4 0.000 0.000 0.900
Pr1 0.000 0.500 0.000
Pr2 0.000 0.500 0.201
Pr3 0.000 0.500 0.401
Pr4 0.000 0.500 0.599
Pr5 0.000 0.500 0.799
Pr6 0.500 0.000 0.000
Pr7 0.500 0.000 0.201
Pr8 0.500 0.000 0.401
Pr9 0.500 0.000 0.599
Pr10 0.500 0.000 0.799
Pr11 0.500 0.500 0.100
Pr12 0.500 0.500 0.301
Pr13 0.500 0.500 0.500
Pr14 0.500 0.500 0.699
Pr15 0.500 0.500 0.900
Dy1 0.000 0.000 0.500

Output
N(E_F): 29.87 states/eV/f.u.
Symmetry: P4/mmm
Total moment: 0.00 μB/atom
E: -4.752 eV per atom
Energy of formation from the pure elements: 1 kJ per mole of atoms
Crystal system: tetragonal

3.
First-principles (GGA-PBE) data for a geometry-optimized NaTe3F structure, as listed in Alexandria via LeMat-Bulk.

Cell lengths 5.306, 5.306, 5.306 Å; angles 90.00, 90.00, 90.00 degrees
Atoms (fractional coordinates):
Na1 0.000 0.000 0.000
Te1 0.000 0.000 0.500
Te2 0.000 0.500 0.000
Te3 0.500 0.000 0.000
F1 0.500 0.500 0.500

Output
N(E_F): 3.85 states/eV/f.u.
Symmetry: Pm-3m
Relative energy among the computed polymorphs: 739 meV/atom
Total moment: 0.00 μB/atom
E: -2.118 eV per atom
Crystal system: cubic
Raw formation energy: 405 meV/atom

4.
First-principles (GGA-PBE) data for a geometry-optimized Sm2MgBi structure, as listed in Alexandria via LeMat-Bulk.

Cell lengths 5.082, 5.082, 4.475 Å; angles 90.00, 90.00, 90.00 degrees
Atoms (fractional coordinates):
Sm1 0.000 0.500 0.000
Sm2 0.500 0.000 0.000
Mg1 0.000 0.000 0.500
Bi1 0.500 0.500 0.500

Output
N(E_F): 4.52 states/eV/f.u.
Symmetry: P4/mmm
Relative energy among the computed polymorphs: 43 meV/atom
Total moment: 0.00 μB/atom
E: -4.142 eV per atom
Energy of formation from the pure elements: -40 kJ per mole of atoms
Crystal system: tetragonal

5.
First-principles (GGA-PBE) data for a geometry-optimized MnTlRh2 structure, as listed in Alexandria via LeMat-Bulk.

Cell lengths 3.164, 3.164, 6.419 Å; angles 90.00, 90.00, 90.00 degrees
Atoms (fractional coordinates):
Mn1 0.000 0.000 0.000
Tl1 0.000 0.000 0.500
Rh1 0.500 0.500 0.226
Rh2 0.500 0.500 0.774

Output
N(E_F): 2.82 states/eV/f.u.
Symmetry: P4/mmm
Total moment: 1.10 μB/atom
E: -6.593 eV per atom
Energy of formation from the pure elements: -3 kJ per mole of atoms
Crystal system: tetragonal

6.
First-principles (GGA-PBE) data for a geometry-optimized HfSc2NbSn structure, as listed in Alexandria via LeMat-Bulk.

Cell lengths 5.197, 5.197, 5.306 Å; angles 90.00, 90.00, 90.00 degrees
Atoms (fractional coordinates):
Hf1 0.000 0.000 0.000
Sc1 0.000 0.500 0.500
Sc2 0.500 0.000 0.500
Nb1 0.500 0.500 0.000
Sn1 0.000 0.000 0.500

Output
N(E_F): 7.04 states/eV/f.u.
Symmetry: P4/mmm
Total moment: 0.54 μB/atom
E: -6.303 eV per atom
Energy of formation from the pure elements: 100 kJ per mole of atoms
Crystal system: tetragonal

7.
First-principles (GGA-PBE) data for a geometry-optimized Zr2CrPb structure, as listed in Alexandria via LeMat-Bulk.

Cell lengths 5.640, 5.640, 5.640 Å; angles 136.06, 136.06, 63.89 degrees
Atoms (fractional coordinates):
Zr1 0.000 0.000 0.000
Zr2 0.750 0.250 0.500
Cr1 0.250 0.750 0.500
Pb1 0.500 0.500 0.000

Output
N(E_F): 4.05 states/eV/f.u.
Symmetry: I-4m2
Total moment: 0.63 μB/atom
E: -7.481 eV per atom
Energy of formation from the pure elements: 12 kJ per mole of atoms
Crystal system: tetragonal

8.
First-principles (GGA-PBE) data for a geometry-optimized MnZnSb2 structure, as listed in Alexandria via LeMat-Bulk.

Cell lengths 5.181, 5.181, 5.181 Å; angles 127.36, 127.36, 77.67 degrees
Atoms (fractional coordinates):
Mn1 0.000 0.000 0.000
Zn1 0.500 0.500 0.000
Sb1 0.250 0.750 0.500
Sb2 0.750 0.250 0.500

Output
N(E_F): 2.13 states/eV/f.u.
Symmetry: I4/mmm
Total moment: 0.97 μB/atom
E: -4.399 eV per atom
Crystal system: tetragonal
Raw formation energy: 273 meV/atom

9.
First-principles (GGA-PBE) data for a geometry-optimized ZrHgSe2 structure, as listed in Alexandria via LeMat-Bulk.

Cell lengths 3.968, 3.968, 5.899 Å; angles 90.00, 90.00, 90.00 degrees
Atoms (fractional coordinates):
Zr1 0.000 0.000 0.000
Hg1 0.500 0.500 0.500
Se1 0.000 0.000 0.500
Se2 0.500 0.500 0.000

Output
N(E_F): 2.98 states/eV/f.u.
Symmetry: P4/mmm
Relative energy among the computed polymorphs: 492 meV/atom
Total moment: 0.00 μB/atom
E: -4.454 eV per atom
Crystal system: tetragonal
Raw formation energy: -499 meV/atom

10.
First-principles (GGA-PBE) data for a geometry-optimized Ce3Ho2NpN6 structure, as listed in Alexandria via LeMat-Bulk.

Cell lengths 6.050, 6.050, 6.106 Å; angles 99.52, 99.52, 119.98 degrees
Atoms (fractional coordinates):
Ce1 0.000 0.000 0.000
Ce2 0.332 0.668 0.000
Ce3 0.668 0.332 0.000
Ho1 0.166 0.834 0.500
Ho2 0.834 0.166 0.500
Np1 0.500 0.500 0.500
N1 0.101 0.422 0.266
N2 0.257 0.257 0.735
N3 0.422 0.101 0.266
N4 0.578 0.899 0.734
N5 0.743 0.743 0.265
N6 0.899 0.578 0.734

Output
N(E_F): 13.37 states/eV/f.u.
Symmetry: C2/m
Total moment: 0.33 μB/atom
E: -8.992 eV per atom
Crystal system: monoclinic
Raw formation energy: -1504 meV/atom

11.
First-principles (GGA-PBE) data for a geometry-optimized La2InAgIr structure, as listed in Alexandria via LeMat-Bulk.

Cell lengths 7.808, 4.395, 8.358 Å; angles 90.00, 111.90, 90.00 degrees
Atoms (fractional coordinates):
La1 0.028 0.250 0.225
La2 0.347 0.750 0.612
La3 0.653 0.250 0.388
La4 0.972 0.750 0.775
In1 0.345 0.250 0.957
In2 0.655 0.750 0.043
Ag1 0.325 0.750 0.188
Ag2 0.675 0.250 0.812
Ir1 0.106 0.250 0.618
Ir2 0.894 0.750 0.382

Output
N(E_F): 3.65 states/eV/f.u.
Symmetry: P2_1/m
Relative energy among the computed polymorphs: 0 meV/atom
Total moment: 0.00 μB/atom
E: -5.396 eV per atom
Energy of formation from the pure elements: -52 kJ per mole of atoms
Crystal system: monoclinic

12.
First-principles (GGA-PBE) data for a geometry-optimized Ac2CeVN4 structure, as listed in Alexandria via LeMat-Bulk.

Cell lengths 6.384, 6.384, 13.045 Å; angles 90.00, 90.00, 147.56 degrees
Atoms (fractional coordinates):
Ac1 0.135 0.865 0.543
Ac2 0.135 0.865 0.957
Ac3 0.865 0.135 0.043
Ac4 0.865 0.135 0.457
Ce1 0.400 0.600 0.750
Ce2 0.600 0.400 0.250
V1 0.318 0.682 0.250
V2 0.682 0.318 0.750
N1 0.103 0.897 0.750
N2 0.218 0.782 0.146
N3 0.218 0.782 0.354
N4 0.500 0.500 0.000
N5 0.500 0.500 0.500
N6 0.782 0.218 0.646
N7 0.782 0.218 0.854
N8 0.897 0.103 0.250

Output
N(E_F): 9.60 states/eV/f.u.
Symmetry: Cmcm
Total moment: 0.24 μB/atom
E: -8.007 eV per atom
Crystal system: orthorhombic
Raw formation energy: -936 meV/atom

13.
First-principles (GGA-PBE) data for a geometry-optimized Tb2PmPt2 structure, as listed in Alexandria via LeMat-Bulk.

Cell lengths 5.559, 4.614, 10.520 Å; angles 90.00, 98.27, 90.00 degrees
Atoms (fractional coordinates):
Tb1 0.118 0.250 0.385
Tb2 0.227 0.750 0.967
Tb3 0.773 0.250 0.033
Tb4 0.882 0.750 0.615
Pm1 0.439 0.250 0.716
Pm2 0.561 0.750 0.284
Pt1 0.302 0.250 0.133
Pt2 0.341 0.750 0.528
Pt3 0.659 0.250 0.472
Pt4 0.698 0.750 0.867

Output
N(E_F): 3.64 states/eV/f.u.
Symmetry: P2_1/m
Relative energy among the computed polymorphs: 0 meV/atom
Total moment: 0.00 μB/atom
E: -6.226 eV per atom
Energy of formation from the pure elements: -97 kJ per mole of atoms
Crystal system: monoclinic

14.
First-principles (GGA-PBE) data for a geometry-optimized BaSi3 structure, as listed in Alexandria via LeMat-Bulk.

Cell lengths 3.163, 4.497, 6.371 Å; angles 90.00, 90.00, 90.00 degrees
Atoms (fractional coordinates):
Ba1 0.000 0.000 0.000
Si1 0.500 0.000 0.500
Si2 0.500 0.500 0.312
Si3 0.500 0.500 0.688

Output
N(E_F): 0.98 states/eV/f.u.
Symmetry: Pmmm
Total moment: 0.00 μB/atom
E: -4.442 eV per atom
Crystal system: orthorhombic
Raw formation energy: 106 meV/atom

15.
First-principles (GGA-PBE) data for a geometry-optimized V2ReGe structure, as listed in Alexandria via LeMat-Bulk.

Cell lengths 3.191, 3.191, 5.494 Å; angles 90.00, 90.00, 90.00 degrees
Atoms (fractional coordinates):
V1 0.000 0.000 0.240
V2 0.000 0.000 0.760
Re1 0.500 0.500 0.500
Ge1 0.500 0.500 0.000

Output
N(E_F): 3.97 states/eV/f.u.
Symmetry: P4/mmm
Total moment: 0.00 μB/atom
E: -9.004 eV per atom
Energy of formation from the pure elements: -17 kJ per mole of atoms
Crystal system: tetragonal

16.
First-principles (GGA-PBE) data for a geometry-optimized Sr2SeCl structure, as listed in Alexandria via LeMat-Bulk.

Cell lengths 4.390, 4.390, 6.174 Å; angles 90.00, 90.00, 90.00 degrees
Atoms (fractional coordinates):
Sr1 0.000 0.000 0.000
Sr2 0.500 0.500 0.500
Se1 0.000 0.000 0.500
Cl1 0.500 0.500 0.000

Output
N(E_F): 1.57 states/eV/f.u.
Symmetry: P4/mmm
Relative energy among the computed polymorphs: 6 meV/atom
Total moment: 0.00 μB/atom
E: -4.004 eV per atom
Crystal system: tetragonal
Raw formation energy: -1831 meV/atom

17.
First-principles (GGA-PBE) data for a geometry-optimized Li2CuNi structure, as listed in Alexandria via LeMat-Bulk.

Cell lengths 4.095, 4.095, 4.095 Å; angles 60.00, 60.00, 60.00 degrees
Atoms (fractional coordinates):
Li1 0.000 0.000 0.000
Li2 0.250 0.250 0.250
Cu1 0.500 0.500 0.500
Ni1 0.750 0.750 0.750

Output
N(E_F): 0.92 states/eV/f.u.
Symmetry: F-43m
Relative energy among the computed polymorphs: 3 meV/atom
Total moment: 0.00 μB/atom
E: -3.435 eV per atom
Energy of formation from the pure elements: -1 kJ per mole of atoms
Crystal system: cubic

18.
First-principles (GGA-PBE) data for a geometry-optimized Y2OsCl structure, as listed in Alexandria via LeMat-Bulk.

Cell lengths 3.530, 4.571, 5.589 Å; angles 90.00, 90.00, 90.00 degrees
Atoms (fractional coordinates):
Y1 0.000 0.000 0.000
Y2 0.500 0.500 0.500
Os1 0.000 0.000 0.500
Cl1 0.500 0.500 0.000

Output
N(E_F): 2.27 states/eV/f.u.
Symmetry: Pmmm
Relative energy among the computed polymorphs: 287 meV/atom
Total moment: 0.00 μB/atom
E: -7.095 eV per atom
Crystal system: orthorhombic
Raw formation energy: -594 meV/atom

19.
First-principles (GGA-PBE) data for a geometry-optimized Rb3SmY2O6 structure, as listed in Alexandria via LeMat-Bulk.

Cell lengths 6.150, 6.150, 6.888 Å; angles 98.56, 98.56, 120.00 degrees
Atoms (fractional coordinates):
Rb1 0.000 0.000 0.000
Rb2 0.333 0.667 0.000
Rb3 0.667 0.333 0.000
Sm1 0.500 0.500 0.500
Y1 0.167 0.833 0.500
Y2 0.833 0.167 0.500
O1 0.102 0.441 0.323
O2 0.220 0.220 0.677
O3 0.441 0.102 0.323
O4 0.559 0.898 0.677
O5 0.780 0.780 0.323
O6 0.898 0.559 0.677

Output
N(E_F): 0.00 states/eV/f.u.
Symmetry: C2/m
Total moment: 0.00 μB/atom
E: -6.843 eV per atom
Crystal system: monoclinic
Raw formation energy: -2652 meV/atom

20.
First-principles (GGA-PBE) data for a geometry-optimized LaY2Er structure, as listed in Alexandria via LeMat-Bulk.

Cell lengths 5.744, 5.744, 5.744 Å; angles 60.00, 60.00, 60.00 degrees
Atoms (fractional coordinates):
La1 0.000 0.000 0.000
Y1 0.250 0.250 0.250
Y2 0.750 0.750 0.750
Er1 0.500 0.500 0.500

Output
N(E_F): 7.09 states/eV/f.u.
Symmetry: Fm-3m
Relative energy among the computed polymorphs: 108 meV/atom
Total moment: 0.00 μB/atom
E: -5.490 eV per atom
Energy of formation from the pure elements: 11 kJ per mole of atoms
Crystal system: cubic

21.
First-principles (GGA-PBE) data for a geometry-optimized YTcSe2N structure, as listed in Alexandria via LeMat-Bulk.

Cell lengths 5.492, 5.492, 4.334 Å; angles 90.00, 90.00, 90.00 degrees
Atoms (fractional coordinates):
Y1 0.000 0.000 0.000
Tc1 0.500 0.500 0.500
Se1 0.000 0.500 0.000
Se2 0.500 0.000 0.000
N1 0.000 0.000 0.500

Output
N(E_F): 1.58 states/eV/f.u.
Symmetry: P4/mmm
Relative energy among the computed polymorphs: 1214 meV/atom
Total moment: 0.60 μB/atom
E: -5.709 eV per atom
Crystal system: tetragonal
Raw formation energy: 716 meV/atom

22.
First-principles (GGA-PBE) data for a geometry-optimized BaLiMo2 structure, as listed in Alexandria via LeMat-Bulk.

Cell lengths 11.290, 11.290, 11.290 Å; angles 14.94, 14.94, 14.94 degrees
Atoms (fractional coordinates):
Ba1 0.000 0.000 0.000
Li1 0.500 0.500 0.500
Mo1 0.240 0.240 0.240
Mo2 0.760 0.760 0.760

Output
N(E_F): 5.32 states/eV/f.u.
Symmetry: R-3m
Relative energy among the computed polymorphs: 717 meV/atom
Total moment: 0.00 μB/atom
E: -5.085 eV per atom
Energy of formation from the pure elements: 124 kJ per mole of atoms
Crystal system: trigonal

23.
First-principles (GGA-PBE) data for a geometry-optimized KRb2PbF structure, as listed in Alexandria via LeMat-Bulk.

Cell lengths 5.820, 5.820, 5.500 Å; angles 90.00, 90.00, 90.00 degrees
Atoms (fractional coordinates):
K1 0.000 0.000 0.000
Rb1 0.000 0.500 0.500
Rb2 0.500 0.000 0.500
Pb1 0.500 0.500 0.000
F1 0.000 0.000 0.500

Output
N(E_F): 4.15 states/eV/f.u.
Symmetry: P4/mmm
Total moment: 0.28 μB/atom
E: -2.756 eV per atom
Crystal system: tetragonal
Raw formation energy: -1034 meV/atom